1.
Crystalline Sm2YPaSe4 at its relaxed geometry, computed with PBE-GGA.

Calculated values
- formation energy (no corrections) (meV per atom) = -1634
- SG = P2/m (10)
- total magnetization (μB per atom) = 0.078

Lattice parameters (Å, degrees): 4.092 7.179 7.142 109.01 90.00 90.00
Each line ends with the local moment (μB).
Element x y z (fractional)
1 Sm 0.000 0.500 0.500  0.01
2 Sm 0.500 0.000 0.500  -0.01
3 Se 0.000 0.750 0.244  -0.01
4 Se 0.500 0.247 0.243  0.00
5 Se 0.500 0.753 0.757  0.00
6 Se 0.000 0.250 0.756  -0.01
7 Y 0.000 0.000 0.000  0.01
8 Pa 0.500 0.500 0.000  0.52

2.
Crystalline Ac3In3Ag8 at its relaxed geometry, computed with PBE-GGA.

Calculated values
- SG = C2/m (12)
- total magnetization (μB per atom) = 0.000
- energy relative to the elements (eV/atom) = -0.29

Lattice parameters (Å, degrees): 4.839 9.036 9.132 66.58 74.63 74.47
Element x y z (fractional)
1 Ac 0.697 0.288 0.319
2 Ac 0.000 0.000 0.000
3 Ac 0.303 0.712 0.681
4 Ag 0.660 0.975 0.705
5 Ag 0.131 0.582 0.156
6 Ag 0.872 0.851 0.404
7 Ag 0.497 0.306 0.699
8 Ag 0.340 0.025 0.295
9 Ag 0.503 0.694 0.301
10 Ag 0.869 0.418 0.844
11 Ag 0.128 0.149 0.596
12 In 0.329 0.320 0.021
13 In 0.000 0.500 0.500
14 In 0.671 0.680 0.979

no.,calculated density (g/cm3),uncorrected energy (eV per atom),density of states at the Fermi level (states/eV/atom)
1,7.840,-6.551,0.907
2,9.028,-3.384,0.627